[1]
The following is a DFT calculation (PBE) of crystalline Zr2GaTc3 at its relaxed geometry.

Cell: 5.232 5.232 5.295 Å, 90.05 119.60 119.95°
Atoms (fractional coordinates):
Zr 0.245 0.622 0.867
Ga 0.000 0.000 0.000
Tc 0.500 0.000 0.500
Tc 0.000 0.000 0.500
Zr 0.755 0.378 0.133
Tc 0.500 0.500 0.500

Results
ΔE_f (meV/atom): -395


[2]
The following is a DFT calculation (PBE) of crystalline Mg2Tl3SnSe6 at its relaxed geometry.

Cell: 7.042 7.042 7.699 Å, 98.80 98.80 120.01°
Atoms (fractional coordinates):
Tl 0.831 0.169 0.500
Se 0.601 0.932 0.800
Se 0.737 0.737 0.206
Se 0.068 0.399 0.200
Mg 0.334 0.666 0.000
Se 0.399 0.068 0.200
Tl 0.500 0.500 0.500
Tl 0.169 0.831 0.500
Mg 0.666 0.334 0.000
Sn 0.000 0.000 0.000
Se 0.263 0.263 0.794
Se 0.932 0.601 0.800

Results
E_form (uncorrected) (eV/atom): -0.640


[3]
The following is a DFT calculation (PBE) of crystalline Sm6Ag5Os at its relaxed geometry.

Cell: 5.178 7.372 8.201 Å, 90.00 71.60 90.00°
Atoms (fractional coordinates):
Sm 0.500 0.231 0.000
Ag 0.322 0.000 0.356
Ag 0.667 0.500 0.667
Ag 0.000 0.500 0.000
Ag 0.333 0.500 0.333
Sm 0.843 0.759 0.313
Os 0.000 0.000 0.000
Sm 0.157 0.759 0.687
Sm 0.157 0.241 0.687
Sm 0.843 0.241 0.313
Sm 0.500 0.769 0.000
Ag 0.678 0.000 0.644

Results
ΔE_f (meV/atom): -259


For each record above, in turn, the calculated final energy values are -8.932; -3.573; -4.742 eV per atom.